{"formula": "SrNpTcN3", "functional": "PBE", "state": "relaxed", "magmom_total_mub_per_atom": 0.320, "e_form_raw_ev_per_atom": -0.6189, "total_energy_ev_per_fu": -53.7, "cell": [[7.6042, 0.0000, 0.0000], [0.0000, 3.3718, 0.0000], [-1.6595, 0.0000, 7.6245]], "species": ["Sr", "Sr", "Np", "Np", "Tc", "Tc", "N", "N", "N", "N", "N", "N"], "frac_coords": [[0.1847, 0.2500, 0.2060], [0.8153, 0.7500, 0.7940], [0.3489, 0.7500, 0.8377], [0.6511, 0.2500, 0.1623], [0.0972, 0.2500, 0.5931], [0.9028, 0.7500, 0.4069], [0.1488, 0.2500, 0.8575], [0.1873, 0.7500, 0.4686], [0.4474, 0.7500, 0.1231], [0.5526, 0.2500, 0.8769], [0.8127, 0.2500, 0.5314], [0.8512, 0.7500, 0.1425]]}

---

{"formula": "KPRh2", "functional": "PBE", "state": "relaxed", "magmom_total_mub_per_atom": 0.000, "e_form_ev_per_atom": 0.01, "total_energy_ev_per_fu": -21.2, "cell": [[2.8711, 0.0000, 0.0000], [0.0000, 3.7509, 0.0000], [0.0000, 0.0000, 7.1213]], "species": ["K", "P", "Rh", "Rh"], "frac_coords": [[0.0000, 0.0000, 0.0000], [0.5000, 0.5000, 0.3483], [0.0000, 0.0000, 0.4535], [0.5000, 0.5000, 0.6645]]}

---

{"formula": "Ac3HPtPb", "functional": "PBE", "state": "relaxed", "magmom_total_mub_per_atom": 0.000, "total_energy_ev_per_fu": -29.7, "cell": [[8.9940, 0.0000, 0.0000], [0.0000, 4.5864, 0.0000], [-1.7681, 0.0000, 9.4405]], "species": ["Ac", "Ac", "Ac", "Ac", "Ac", "Ac", "H", "H", "Pt", "Pt", "Pb", "Pb"], "frac_coords": [[0.0709, 0.2500, 0.3307], [0.3154, 0.2500, 0.9656], [0.3792, 0.7500, 0.6322], [0.6208, 0.2500, 0.3678], [0.6846, 0.7500, 0.0344], [0.9291, 0.7500, 0.6693], [0.4133, 0.7500, 0.9057], [0.5867, 0.2500, 0.0943], [0.1552, 0.2500, 0.6519], [0.8448, 0.7500, 0.3481], [0.3407, 0.7500, 0.2418], [0.6593, 0.2500, 0.7582]]}